The following is a PBE calculation of a relaxed Ac5PuSn6 crystal, from the Alexandria database.

extended XYZ file:
```
12
Lattice="2.677 -7.980 0.000 2.677 7.980 0.000 0.000 0.000 9.192" Properties=species:S:1:pos:R:3 pbc="T T T"
Ac 0.000 0.000 0.000
Ac 2.677 2.680 0.000
Ac 2.677 2.602 4.596
Ac 2.677 -2.602 4.596
Ac 2.677 -2.680 0.000
Pu 0.000 0.000 4.596
Sn 2.677 5.401 2.339
Sn 2.677 5.401 6.853
Sn 2.677 0.000 2.332
Sn 2.677 0.000 6.860
Sn 2.677 -5.401 2.339
Sn 2.677 -5.401 6.853
```

Summary:
density of states at the Fermi level	1.585	states/eV per atom
formation energy	-6.6	eV per formula unit
total moment	0.518	μB per atom
E_tot	-65.456	eV per cell

=====

The following is a PBE calculation of a relaxed LaPrC crystal, from the Alexandria database.

extended XYZ file:
```
6
Lattice="3.221 -1.857 0.000 3.221 1.857 0.000 -2.938 0.000 13.772" Properties=species:S:1:pos:R:3 pbc="T T T"
La 0.000 0.000 0.000
La 3.472 0.000 4.097
Pr -0.834 0.000 6.971
Pr -0.800 0.000 10.898
C 1.314 0.000 5.520
C 1.348 0.000 12.350
```

Summary:
density of states at the Fermi level	0.663	states/eV per atom
formation energy	-0.3	eV per formula unit
total moment	0.000	μB per atom
E_tot	-38.438	eV per cell

=====

The following is a PBE calculation of a relaxed Pr3AgOs crystal, from the Alexandria database.

extended XYZ file:
```
5
Lattice="5.583 0.000 0.000 0.000 5.583 0.000 0.000 0.000 5.583" Properties=species:S:1:pos:R:3 pbc="T T T"
Pr 0.000 0.000 2.792
Pr 0.000 2.792 0.000
Pr 2.792 0.000 0.000
Ag 2.792 2.792 2.792
Os 0.000 0.000 0.000
```

Summary:
density of states at the Fermi level	0.809	states/eV per atom
formation energy	0.8	eV per formula unit
total moment	0.000	μB per atom
E_tot	-27.609	eV per cell

=====

The following is a PBE calculation of a relaxed Tb7NdEr12 crystal, from the Alexandria database.

extended XYZ file:
```
20
Lattice="6.381 3.684 4.511 -6.381 3.684 4.511 0.000 -7.368 4.511" Properties=species:S:1:pos:R:3 pbc="T T T"
Tb 0.000 0.000 0.000
Tb -1.726 -1.479 4.729
Tb -0.418 2.234 4.729
Tb 2.144 -0.756 4.729
Tb -2.144 0.756 8.802
Tb 0.418 -2.234 8.802
Tb 1.726 1.479 8.802
Nd 0.000 0.000 6.766
Er -0.404 -2.209 2.081
Er -1.711 1.454 2.081
Er -3.642 1.145 5.604
Er -2.813 -2.582 7.928
Er 0.829 -3.727 5.604
Er 2.115 0.755 2.081
Er -2.115 -0.755 11.451
Er -0.829 3.727 7.928
Er 2.813 2.582 5.604
Er 3.642 -1.145 7.928
Er 1.711 -1.454 11.451
Er 0.404 2.209 11.451
```

Summary:
density of states at the Fermi level	0.868	states/eV per atom
formation energy	6.1	eV per formula unit
total moment	0.000	μB per atom
E_tot	-85.852	eV per cell

=====

The following is a PBE calculation of a relaxed InSbRh crystal, from the Alexandria database.

extended XYZ file:
```
3
Lattice="4.727 0.000 0.000 -2.364 4.094 0.000 0.000 0.000 3.218" Properties=species:S:1:pos:R:3 pbc="T T T"
In 0.000 0.000 0.000
Sb 0.000 2.729 1.605
Rh 2.364 1.365 1.594
```

Summary:
density of states at the Fermi level	0.692	states/eV per atom
total moment	0.000	μB per atom
E_tot	-14.122	eV per cell
uncorrected formation energy	0.0300	eV/atom

=====

The following is a PBE calculation of a relaxed Y2NiRuSe crystal, from the Alexandria database.

extended XYZ file:
```
5
Lattice="5.358 0.000 0.000 0.000 5.358 0.000 0.000 0.000 4.349" Properties=species:S:1:pos:R:3 pbc="T T T"
Y 0.000 2.679 0.000
Y 2.679 0.000 0.000
Ni 0.000 0.000 2.174
Ru 0.000 0.000 0.000
Se 2.679 2.679 2.174
```

Summary:
density of states at the Fermi level	0.709	states/eV per atom
total moment	0.000	μB per atom
E_tot	-32.242	eV per cell
uncorrected formation energy	-0.1544	eV/atom

=====

The following is a PBE calculation of a relaxed Sm3Cd2Ag8 crystal, from the Alexandria database.

extended XYZ file:
```
13
Lattice="2.773 1.601 11.118 -2.773 1.601 11.118 0.000 -3.202 11.118" Properties=species:S:1:pos:R:3 pbc="T T T"
Sm 0.000 0.000 0.000
Sm 0.000 0.000 6.291
Sm 0.000 0.000 27.064
Cd 0.000 0.000 12.092
Cd 0.000 0.000 21.263
Ag -1.397 -0.806 18.897
Ag 0.000 -1.613 14.458
Ag -1.397 0.806 14.458
Ag 0.000 0.000 9.348
Ag 0.000 0.000 24.007
Ag 1.397 -0.806 18.897
Ag 0.000 1.613 18.897
Ag 1.397 0.806 14.458
```

Summary:
density of states at the Fermi level	0.606	states/eV per atom
formation energy	-1.2	eV per formula unit
total moment	0.000	μB per atom
E_tot	-39.968	eV per cell

=====

The following is a PBE calculation of a relaxed ThScPa2 crystal, from the Alexandria database.

extended XYZ file:
```
4
Lattice="2.658 1.535 4.351 -2.658 1.535 4.351 0.000 -3.069 4.351" Properties=species:S:1:pos:R:3 pbc="T T T"
Th 0.000 0.000 0.000
Sc 0.000 0.000 6.526
Pa 0.000 0.000 3.251
Pa 0.000 0.000 9.801
```

Summary:
density of states at the Fermi level	2.909	states/eV per atom
formation energy	1.6	eV per formula unit
total moment	0.000	μB per atom
E_tot	-31.136	eV per cell

=====

The following is a PBE calculation of a relaxed Y2ErTl crystal, from the Alexandria database.

extended XYZ file:
```
8
Lattice="1.729 -13.080 0.000 1.729 13.080 0.000 0.000 0.000 5.581" Properties=species:S:1:pos:R:3 pbc="T T T"
Y 1.729 10.589 4.186
Y 1.729 8.342 1.395
Y 1.729 -8.342 4.186
Y 1.729 -10.589 1.395
Er 1.729 12.283 1.395
Er 1.729 -12.283 4.186
Tl 1.729 5.210 1.395
Tl 1.729 -5.210 4.186
```

Summary:
density of states at the Fermi level	1.480	states/eV per atom
formation energy	0.6	eV per formula unit
total moment	0.000	μB per atom
E_tot	-38.457	eV per cell

=====

The following is a PBE calculation of a relaxed Zr2InMo crystal, from the Alexandria database.

extended XYZ file:
```
4
Lattice="3.483 0.000 0.000 0.000 3.483 0.000 0.000 0.000 6.802" Properties=species:S:1:pos:R:3 pbc="T T T"
Zr 0.000 0.000 1.532
Zr 0.000 0.000 5.270
In 1.741 1.741 3.401
Mo 1.741 1.741 0.000
```

Summary:
density of states at the Fermi level	0.885	states/eV per atom
formation energy	-0.9	eV per formula unit
total moment	0.000	μB per atom
E_tot	-31.549	eV per cell

=====

The following is a PBE calculation of a relaxed Tb8CePm3 crystal, from the Alexandria database.

extended XYZ file:
```
12
Lattice="-4.352 4.352 5.669 4.352 -4.352 5.669 4.352 4.352 -5.669" Properties=species:S:1:pos:R:3 pbc="T T T"
Tb 3.273 3.273 -2.696
Tb 2.036 -2.036 5.371
Tb 2.316 2.316 0.298
Tb 1.079 1.079 2.973
Tb 1.079 -1.079 8.366
Tb -2.036 2.036 5.371
Tb 2.036 2.036 5.967
Tb -1.079 1.079 8.366
Ce 0.000 0.000 5.669
Pm 0.000 0.000 0.000
Pm 4.352 0.000 2.835
Pm 0.000 4.352 2.835
```

Summary:
density of states at the Fermi level	1.608	states/eV per atom
formation energy	7.0	eV per formula unit
total moment	0.000	μB per atom
E_tot	-50.178	eV per cell

=====

The following is a PBE calculation of a relaxed Ta5Mn4Rh crystal, from the Alexandria database.

extended XYZ file:
```
10
Lattice="3.045 0.000 0.000 0.000 3.045 0.000 0.000 0.000 15.880" Properties=species:S:1:pos:R:3 pbc="T T T"
Ta 0.000 0.000 0.000
Ta 0.000 0.000 3.067
Ta 0.000 0.000 6.135
Ta 0.000 0.000 9.744
Ta 0.000 0.000 12.812
Mn 1.523 1.523 1.532
Mn 1.523 1.523 4.614
Mn 1.523 1.523 11.266
Mn 1.523 1.523 14.347
Rh 1.523 1.523 7.940
```

Summary:
density of states at the Fermi level	0.757	states/eV per atom
formation energy	-2.5	eV per formula unit
total moment	0.000	μB per atom
E_tot	-105.842	eV per cell